No. 1
This record from the Alexandria database describes a relaxed Li2Ca crystal. The functional is GGA-PBE.

Computed properties:
DFT formation energy   0.16 eV per formula unit
Distance to the lowest polymorph of the same formula   65 meV/atom

CIF file:
```
data_Li2Ca
_chemical_formula_sum 'Li8 Ca4'
_cell_length_a 6.597
_cell_length_b 5.374
_cell_length_c 9.546
_cell_angle_alpha 90.00
_cell_angle_beta 90.00
_cell_angle_gamma 90.00
_symmetry_space_group_name_H-M 'P n m a'
_symmetry_Int_Tables_number 62
loop_
_symmetry_equiv_pos_as_xyz
'x,y,z'
'-x,-y,-z'
'-x+1/2,-y,z+1/2'
'x+1/2,y,-z+1/2'
'x+1/2,-y+1/2,-z+1/2'
'-x+1/2,y+1/2,z+1/2'
'-x,y+1/2,-z'
'x,-y+1/2,z'
loop_
_atom_site_label
_atom_site_fract_x
_atom_site_fract_y
_atom_site_fract_z
_atom_site_occupancy
Li1 0.029 0.250 0.229 1
Li2 0.161 0.250 0.931 1
Ca1 0.172 0.250 0.591 1
```

***

No. 2
This record from the Alexandria database describes a relaxed Ac4TeSe2N2 crystal. The functional is GGA-PBE.

Computed properties:
ΔE_f (raw)   -156.10 kJ per mole of atoms

CIF file:
```
data_Ac4TeSe2N2
_chemical_formula_sum 'Ac8 Te2 Se4 N4'
_cell_length_a 17.365
_cell_length_b 4.221
_cell_length_c 9.004
_cell_angle_alpha 90.00
_cell_angle_beta 119.00
_cell_angle_gamma 90.00
_symmetry_space_group_name_H-M 'C 1 2/m 1'
_symmetry_Int_Tables_number 12
loop_
_symmetry_equiv_pos_as_xyz
'x,y,z'
'-x,-y,-z'
'-x,y,-z'
'x,-y,z'
'x+1/2,y+1/2,z'
'-x+1/2,-y+1/2,-z'
'-x+1/2,y+1/2,-z'
'x+1/2,-y+1/2,z'
loop_
_atom_site_label
_atom_site_fract_x
_atom_site_fract_y
_atom_site_fract_z
_atom_site_occupancy
Ac1 0.026 0.000 0.311 1
Ac2 0.231 0.500 0.310 1
Te1 0.000 0.500 0.000 1
Se1 0.113 0.500 0.661 1
N1 0.174 0.000 0.382 1
```

***

No. 3
This record from the Alexandria database describes a relaxed PmPrZnGa crystal. The functional is GGA-PBE.

Computed properties:
DFT formation energy   -1.77 eV per formula unit

CIF file:
```
data_PmPrZnGa
_chemical_formula_sum 'Pm4 Pr4 Zn4 Ga4'
_cell_length_a 7.395
_cell_length_b 7.395
_cell_length_c 7.395
_cell_angle_alpha 90.00
_cell_angle_beta 90.00
_cell_angle_gamma 90.00
_symmetry_space_group_name_H-M 'F -4 3 m'
_symmetry_Int_Tables_number 216
_symmetry_space_group_name_Hall 'F -4 2 3'
loop_
_atom_site_label
_atom_site_fract_x
_atom_site_fract_y
_atom_site_fract_z
_atom_site_occupancy
Pm1 0.000 0.000 0.000 1
Pr1 0.000 0.000 0.500 1
Zn1 0.250 0.250 0.750 1
Ga1 0.250 0.250 0.250 1
```

***

No. 4
This record from the Alexandria database describes a relaxed BeFeAs2 crystal. The functional is GGA-PBE.

Computed properties:
DFT formation energy   1.36 eV per formula unit
Distance to the lowest polymorph of the same formula   352 meV/atom

CIF file:
```
data_BeFeAs2
_chemical_formula_sum 'Be2 Fe2 As4'
_cell_length_a 5.300
_cell_length_b 6.633
_cell_length_c 3.235
_cell_angle_alpha 90.00
_cell_angle_beta 101.30
_cell_angle_gamma 90.00
_symmetry_space_group_name_H-M 'C 1 2/m 1'
_symmetry_Int_Tables_number 12
loop_
_symmetry_equiv_pos_as_xyz
'x,y,z'
'-x,-y,-z'
'-x,y,-z'
'x,-y,z'
'x+1/2,y+1/2,z'
'-x+1/2,-y+1/2,-z'
'-x+1/2,y+1/2,-z'
'x+1/2,-y+1/2,z'
loop_
_atom_site_label
_atom_site_fract_x
_atom_site_fract_y
_atom_site_fract_z
_atom_site_occupancy
Be1 0.000 0.000 0.000 1
Fe1 0.000 0.500 0.000 1
As1 0.250 0.250 0.500 1
```

***

no.,DFT total energy (eV per atom),total magnetization (μB per atom)
1,-1.890,0.00
2,-6.417,0.00
3,-3.899,0.00
4,-5.032,0.41